one:
HIrBr2: relaxed, PBE.

Space-group type = Fm-3m (225)

Cell and atoms, written as POSCAR:
```
HIrBr2
1.0
0.000 3.211 3.211
3.211 0.000 3.211
3.211 3.211 0.000
H Br Ir
1 2 1
Direct
0.000 0.000 0.000
0.750 0.750 0.750
0.250 0.250 0.250
0.500 0.500 0.500
```

=====

two:
HIrBr2: relaxed, PBE.

Space-group type = I-42d (122)

Cell and atoms, written as POSCAR:
```
HIrBr2
1.0
-4.288 1.761 -2.894
-3.365 -1.665 3.971
-3.452 4.659 2.789
Br H Ir
4 2 2
Direct
0.586 0.125 0.250
0.164 0.625 0.250
0.375 0.414 0.750
0.875 0.836 0.750
0.250 0.750 0.500
0.500 0.500 0.000
0.000 0.000 0.000
0.750 0.250 0.500
```

=====

three:
HIrBr2: relaxed, PBE.

Space-group type = R-3m (166)

Cell and atoms, written as POSCAR:
```
HIrBr2
1.0
-3.616 -1.500 6.680
-1.692 -4.050 6.379
-0.551 -1.316 7.610
Br Ir H
2 1 1
Direct
0.895 0.895 0.895
0.105 0.105 0.105
0.000 0.000 0.000
0.500 0.500 0.500
```

=====

In meV per atom, relative to the most stable structure: one 366; two 0; three 74.